# Y4Cd2Hg

A relaxed structure of Y4Cd2Hg (PBE-GGA, Alexandria via LeMat-Bulk).

Geometry as POSCAR:
```
Y4Cd2Hg
1.0
2.617 1.511 8.459
-2.617 1.511 8.459
0.000 -3.022 8.459
Y Cd Hg
4 2 1
direct
0.120 0.120 0.120 Y
0.372 0.372 0.372 Y
0.628 0.628 0.628 Y
0.880 0.880 0.880 Y
0.250 0.250 0.250 Cd
0.750 0.750 0.750 Cd
0.500 0.500 0.500 Hg
```

ΔH_f (0 K) in meV per atom: -214
Total energy in eV for the cell shown: -29.5
Calculated volume in A^3/atom: 28.7